Record 1
An optimized crystal structure of TiFeAs2Se, computed with GGA-PBE.

Properties
- uncorrected energy (eV/atom) = -5.00
- raw formation energy (meV per atom) = 829
- excess energy over the best structure of this formula in the dataset (eV/f.u.) = 2.51
- ρ (g/cm3) = 5.0
- D(E_F) (states/eV/atom) = 1.402
- M_tot (μB/cell) = 1.5

Cell: 5.0635 4.2803 5.0635 Å, 90.00 90.00 90.00°
With the nearest neighbours (Å) after each atom.
Fractional coordinates of all 5 atoms:
Ti (0.5000, 0.5000, 0.5000)  8 As 3.32, 4 Fe 3.58
As (0.0000, 0.0000, 0.5000)  2 Se 2.53
Fe (0.0000, 0.5000, 0.0000)  2 Se 2.14
As (0.5000, 0.0000, 0.0000)  2 Se 2.53
Se (0.0000, 0.0000, 0.0000)  2 Fe 2.14

Record 2
An optimized crystal structure of TiFeAs2Se, computed with GGA-PBE.

Properties
- uncorrected energy (eV/atom) = -5.36
- raw formation energy (meV per atom) = 470
- excess energy over the best structure of this formula in the dataset (eV/f.u.) = 0.72
- ρ (g/cm3) = 4.8
- D(E_F) (states/eV/atom) = 1.394
- M_tot (μB/cell) = 3.3

Cell: 4.8815 4.8815 4.8525 Å, 90.00 90.00 90.00°
With the nearest neighbours (Å) after each atom.
Fractional coordinates of all 5 atoms:
As (0.0000, 0.5000, 0.0000)  2 Ti 2.44
Fe (0.5000, 0.5000, 0.5000)  8 As 3.44, 4 Se 3.45
As (0.5000, 0.0000, 0.0000)  2 Ti 2.44
Ti (0.0000, 0.0000, 0.0000)  2 Se 2.43, 4 As 2.44
Se (0.0000, 0.0000, 0.5000)  2 Ti 2.43

Record 3
An optimized crystal structure of TlFeAs2Se, computed with GGA-PBE.

Properties
- uncorrected energy (eV/atom) = -2.91
- raw formation energy (meV per atom) = 1815
- excess energy over the best structure of this formula in the dataset (eV/f.u.) = 7.99
- ρ (g/cm3) = 6.1
- D(E_F) (states/eV/atom) = 1.355
- M_tot (μB/cell) = 0.0

Cell: 5.0901 5.0901 5.1689 Å, 90.00 90.00 90.00°
With the nearest neighbours (Å) after each atom.
Fractional coordinates of all 5 atoms:
As (0.0000, 0.5000, 0.0000)  2 Tl 2.55
As (0.5000, 0.0000, 0.0000)  2 Tl 2.55
Tl (0.0000, 0.0000, 0.0000)  4 As 2.55, 2 Se 2.58
Se (0.0000, 0.0000, 0.5000)  2 Tl 2.58
Fe (0.5000, 0.5000, 0.5000)  4 Se 3.60, 8 As 3.63

Record 4
An optimized crystal structure of TlFeAs2Se, computed with GGA-PBE.

Properties
- uncorrected energy (eV/atom) = -4.51
- raw formation energy (meV per atom) = 217
- excess energy over the best structure of this formula in the dataset (eV/f.u.) = 0.00
- ρ (g/cm3) = 7.3
- D(E_F) (states/eV/atom) = 0.656
- M_tot (μB/cell) = 0.0

Cell: 4.4771 4.4771 5.5587 Å, 90.00 90.00 90.00°
With the nearest neighbours (Å) after each atom.
Fractional coordinates of all 5 atoms:
Tl (0.5000, 0.5000, 0.5000)  4 Se 3.17
As (0.0000, 0.5000, 0.0000)  2 Fe 2.24
As (0.5000, 0.0000, 0.0000)  2 Fe 2.24
Fe (0.0000, 0.0000, 0.0000)  4 As 2.24
Se (0.0000, 0.0000, 0.5000)  2 Fe 2.78

Record 5
An optimized crystal structure of FeAsWSe2, computed with GGA-PBE.

Properties
- uncorrected energy (eV/atom) = -5.48
- raw formation energy (meV per atom) = 1124
- excess energy over the best structure of this formula in the dataset (eV/f.u.) = 1.32
- ρ (g/cm3) = 8.5
- D(E_F) (states/eV/atom) = 1.476
- M_tot (μB/cell) = 0.9

Cell: 4.5673 4.5673 4.4359 Å, 90.00 90.00 90.00°
With the nearest neighbours (Å) after each atom.
Fractional coordinates of all 5 atoms:
As (0.0000, 0.0000, 0.5000)  2 Fe 2.22
W (0.5000, 0.5000, 0.5000)  8 Se 3.18, 4 As 3.23
Fe (0.0000, 0.0000, 0.0000)  2 As 2.22, 4 Se 2.28
Se (0.5000, 0.0000, 0.0000)  2 Fe 2.28
Se (0.0000, 0.5000, 0.0000)  2 Fe 2.28

Record 6
An optimized crystal structure of FeAsWSe2, computed with GGA-PBE.

Properties
- uncorrected energy (eV/atom) = -5.75
- raw formation energy (meV per atom) = 861
- excess energy over the best structure of this formula in the dataset (eV/f.u.) = 0.00
- ρ (g/cm3) = 6.6
- D(E_F) (states/eV/atom) = 1.077
- M_tot (μB/cell) = 3.8

Cell: 4.9058 4.9058 4.9576 Å, 90.00 90.00 90.00°
With the nearest neighbours (Å) after each atom.
Fractional coordinates of all 5 atoms:
Se (0.0000, 0.5000, 0.0000)  2 W 2.45
As (0.0000, 0.0000, 0.5000)  2 W 2.48
W (0.0000, 0.0000, 0.0000)  4 Se 2.45, 2 As 2.48
Fe (0.5000, 0.5000, 0.5000)  4 As 3.47, 8 Se 3.49
Se (0.5000, 0.0000, 0.0000)  2 W 2.45

Record 7
An optimized crystal structure of YFeAs2Se, computed with GGA-PBE.

Properties
- uncorrected energy (eV/atom) = -5.84
- raw formation energy (meV per atom) = -296
- excess energy over the best structure of this formula in the dataset (eV/f.u.) = 0.00
- ρ (g/cm3) = 5.9
- D(E_F) (states/eV/atom) = 0.726
- M_tot (μB/cell) = 0.8

Cell: 4.4573 4.4573 5.2899 Å, 90.00 90.00 90.00°
With the nearest neighbours (Å) after each atom.
Fractional coordinates of all 5 atoms:
As (0.5000, 0.0000, 0.0000)  2 Fe 2.23
As (0.0000, 0.5000, 0.0000)  2 Fe 2.23
Y (0.5000, 0.5000, 0.5000)  4 Se 3.15, 8 As 3.46
Fe (0.0000, 0.0000, 0.0000)  4 As 2.23
Se (0.0000, 0.0000, 0.5000)  2 Fe 2.64

Record 8
An optimized crystal structure of YFeAs2Se, computed with GGA-PBE.

Properties
- uncorrected energy (eV/atom) = -4.50
- raw formation energy (meV per atom) = 1041
- excess energy over the best structure of this formula in the dataset (eV/f.u.) = 6.69
- ρ (g/cm3) = 4.0
- D(E_F) (states/eV/atom) = 1.887
- M_tot (μB/cell) = 0.1

Cell: 5.4060 5.4060 5.3201 Å, 90.00 90.00 90.00°
With the nearest neighbours (Å) after each atom.
Fractional coordinates of all 5 atoms:
As (0.5000, 0.0000, 0.0000)  2 Y 2.70
As (0.0000, 0.5000, 0.0000)  2 Y 2.70
Se (0.0000, 0.0000, 0.5000)  2 Y 2.66
Y (0.0000, 0.0000, 0.0000)  2 Se 2.66, 4 As 2.70
Fe (0.5000, 0.5000, 0.5000)  8 As 3.79, 4 Se 3.82